1.
The following is a PBE-GGA calculation of an optimized crystal structure of BeOsRu2, from Alexandria via LeMat-Bulk.

Results
* E_tot: -0.306 hartree per atom
* E_form: 0.054 eV per atom
* density: 12.93 g/cm3

Cell: 2.7050 3.8494 5.0695 Å, 90.00 102.52 90.00°
Last column: nearest neighbours and their distance in Å.
Space group P2/m (No. 10)
Symmetry-distinct sites (fractional):
Be1 0.0000 0.0000 0.0000 (multiplicity 1)  4 Ru 2.38, 2 Os 2.53
Os1 0.0000 0.0000 0.5000 (multiplicity 1)  2 Be 2.53, 8 Ru 2.69-2.71, 2 Os 2.70
Ru1 0.3855 0.5000 0.2324 (multiplicity 2)  2 Be 2.38, 2 Ru 2.56-2.65

=====

2.
The following is a PBE-GGA calculation of an optimized crystal structure of La8Pr2Mg3, from Alexandria via LeMat-Bulk.

Results
* E_tot: -0.149 hartree per atom
* E_form: 0.092 eV per atom
* density: 5.52 g/cm3

Cell: 8.8082 5.0473 10.6113 Å, 90.00 110.75 90.00°
Last column: nearest neighbours and their distance in Å.
Space group P2/m (No. 10)
Symmetry-distinct sites (fractional):
La1 0.0579 0.0000 0.3817 (multiplicity 2)  4 La 3.03-3.37, 2 Mg 3.24, 1 Pr 3.29
La2 0.2694 0.5000 0.5722 (multiplicity 2)  4 La 3.36-3.73, 2 Pr 3.68
La3 0.3241 0.0000 0.8440 (multiplicity 2)  8 La 3.37-3.75, 1 Pr 3.50
La4 0.3410 0.5000 0.0875 (multiplicity 2)  2 Mg 3.36-3.41, 2 Pr 3.51, 4 La 3.58-3.75
Pr1 0.4060 0.0000 0.3313 (multiplicity 2)  6 La 3.29-3.68, 1 Pr 3.37
Mg1 0.0000 0.0000 0.0000 (multiplicity 1)  4 Mg 3.15
Mg2 0.0075 0.5000 0.1795 (multiplicity 2)  2 Mg 3.15, 4 La 3.24-3.41

=====

3.
The following is a PBE-GGA calculation of an optimized crystal structure of RbSi2PbW, from Alexandria via LeMat-Bulk.

Results
* E_tot: -0.128 hartree per atom
* density: 4.90 g/cm3
* raw formation energy: 2.207 eV/atom

Cell: 5.3470 5.3470 6.3109 Å, 90.00 90.00 90.00°
Last column: nearest neighbours and their distance in Å.
Space group P4/mmm (No. 123)
Symmetry-distinct sites (fractional):
Rb1 0.0000 0.0000 0.0000 (multiplicity 1)  2 Pb 3.16
Si1 0.0000 0.5000 0.5000 (multiplicity 2)  2 Pb 2.67
Pb1 0.0000 0.0000 0.5000 (multiplicity 1)  4 Si 2.67
W1 0.5000 0.5000 0.0000 (multiplicity 1)  4 Rb 3.78, 8 Si 4.14

=====

4.
The following is a PBE-GGA calculation of an optimized crystal structure of Pm3Cu4, from Alexandria via LeMat-Bulk.

Results
* E_tot: -0.167 hartree per atom
* E_form: -0.173 eV per atom
* density: 7.75 g/cm3

Cell: 4.3415 13.4104 5.5074 Å, 90.00 112.96 90.00°
Last column: nearest neighbours and their distance in Å.
Space group Pm (No. 6)
Symmetry-distinct sites (fractional):
Pm1 0.0000 0.0000 0.0000 (multiplicity 1)  7 Cu 2.98-3.18
Pm2 0.0183 0.5000 0.0322 (multiplicity 1)  7 Cu 2.98-3.18
Pm3 0.2863 0.1478 0.5725 (multiplicity 2)  7 Cu 2.93-3.14
Pm4 0.7322 0.3523 0.4600 (multiplicity 2)  7 Cu 2.93-3.13
Cu1 0.0090 0.2501 0.0158 (multiplicity 2)  4 Cu 2.55
Cu2 0.3161 0.5000 0.6273 (multiplicity 1)  2 Cu 2.55
Cu3 0.4434 0.3367 0.8842 (multiplicity 2)  4 Cu 2.55-2.68
Cu4 0.5753 0.1635 0.1484 (multiplicity 2)  4 Cu 2.55-2.68
Cu5 0.7023 0.0000 0.4048 (multiplicity 1)  2 Cu 2.55

=====

5.
The following is a PBE-GGA calculation of an optimized crystal structure of Ce2Tl3AuS6, from Alexandria via LeMat-Bulk.

Results
* E_tot: -0.181 hartree per atom
* density: 6.53 g/cm3
* raw formation energy: -1.011 eV/atom

Cell: 6.8362 12.9476 7.5887 Å, 90.00 103.67 90.00°
Last column: nearest neighbours and their distance in Å.
Space group C2/m (No. 12)
Symmetry-distinct sites (fractional):
Ce1 0.0000 0.1668 0.0000 (multiplicity 4)  6 S 2.67-2.81
Tl1 0.0000 0.0000 0.5000 (multiplicity 2)  6 S 3.36-3.47
Tl2 0.0000 0.3527 0.5000 (multiplicity 4)  6 S 3.00-3.36
Au1 0.0000 0.5000 0.0000 (multiplicity 2)  2 S 2.38
S1 0.2343 0.2020 0.7696 (multiplicity 8)  2 Ce 2.67-2.78
S2 0.2392 0.0000 0.1603 (multiplicity 4)  1 Au 2.38

=====

6.
The following is a PBE-GGA calculation of an optimized crystal structure of MgSc5Ru, from Alexandria via LeMat-Bulk.

Results
* E_tot: -0.221 hartree per atom
* E_form: 0.073 eV per atom
* density: 3.36 g/cm3

Cell: 9.1320 8.8409 9.2495 Å, 90.00 112.25 90.00°
Last column: nearest neighbours and their distance in Å.
Space group C2/c (No. 15)
Symmetry-distinct sites (fractional):
Mg1 0.0000 0.0761 0.2500 (multiplicity 4)  3 Sc 2.77-2.87, 2 Ru 2.99
Sc1 0.0000 0.3893 0.2500 (multiplicity 4)  1 Mg 2.77, 2 Ru 2.84, 2 Sc 2.94
Sc2 0.0971 0.2543 0.6591 (multiplicity 8)  1 Ru 2.38
Sc3 0.2365 0.4399 0.0050 (multiplicity 8)  1 Ru 2.75, 1 Mg 2.87, 1 Sc 2.94
Ru1 0.2500 0.2500 0.5000 (multiplicity 4)  2 Sc 2.38

=====

7.
The following is a PBE-GGA calculation of an optimized crystal structure of VP2Se2, from Alexandria via LeMat-Bulk.

Results
* E_tot: -0.188 hartree per atom
* E above lowest polymorph: 0.0 meV/atom
* density: 4.69 g/cm3
* raw formation energy: 0.274 eV/atom

Cell: 6.9459 6.9459 3.9749 Å, 90.00 90.00 90.00°
Last column: nearest neighbours and their distance in Å.
Space group P4/mbm (No. 127)
Symmetry-distinct sites (fractional):
V1 0.0000 0.0000 0.0000 (multiplicity 2)  4 P 2.56
P1 0.1746 0.3254 0.0000 (multiplicity 4)  2 Se 2.40, 2 V 2.56
Se1 0.1893 0.6893 0.5000 (multiplicity 4)  2 P 2.40

=====

8.
The following is a PBE-GGA calculation of an optimized crystal structure of CuSe2Cl, from Alexandria via LeMat-Bulk.

Results
* E_tot: -0.116 hartree per atom
* E above lowest polymorph: 363.6 meV/atom
* density: 4.17 g/cm3
* raw formation energy: 0.073 eV/atom

Cell: 3.6070 3.6623 7.7412 Å, 90.00 90.00 90.00°
Last column: nearest neighbours and their distance in Å.
Space group Pmmm (No. 47)
Symmetry-distinct sites (fractional):
Cu1 0.0000 0.0000 0.0000 (multiplicity 1)  4 Cl 2.57
Se1 0.0000 0.5000 0.5000 (multiplicity 1)  4 Se 2.57
Se2 0.5000 0.0000 0.5000 (multiplicity 1)  4 Se 2.57
Cl1 0.5000 0.5000 0.0000 (multiplicity 1)  4 Cu 2.57

=====

9.
The following is a PBE-GGA calculation of an optimized crystal structure of PmNd2Sc, from Alexandria via LeMat-Bulk.

Results
* E_tot: -0.188 hartree per atom
* E_form: 0.038 eV per atom
* E above lowest polymorph: 33.2 meV/atom
* density: 6.21 g/cm3

Cell: 5.0486 5.0486 5.0228 Å, 90.00 90.00 90.00°
Last column: nearest neighbours and their distance in Å.
Space group P4/mmm (No. 123)
Symmetry-distinct sites (fractional):
Pm1 0.0000 0.0000 0.0000 (multiplicity 1)  8 Nd 3.56, 4 Sc 3.57
Nd1 0.0000 0.5000 0.5000 (multiplicity 2)  4 Pm 3.56, 4 Sc 3.56, 4 Nd 3.57
Sc1 0.5000 0.5000 0.0000 (multiplicity 1)  8 Nd 3.56, 4 Pm 3.57

=====

10.
The following is a PBE-GGA calculation of an optimized crystal structure of CaTl3Cd2, from Alexandria via LeMat-Bulk.

Results
* E_tot: -0.071 hartree per atom
* E_form: -0.098 eV per atom
* E above lowest polymorph: 25.5 meV/atom
* density: 8.46 g/cm3

Cell: 16.3288 6.4683 6.5248 Å, 90.00 90.00 90.00°
Last column: nearest neighbours and their distance in Å.
Space group Cmcm (No. 63)
Symmetry-distinct sites (fractional):
Ca1 0.0000 0.2305 0.2500 (multiplicity 4)  6 Tl 3.23-3.28, 4 Cd 3.40
Tl1 0.0000 0.2696 0.7500 (multiplicity 4)  4 Ca 3.23-3.27, 4 Cd 3.28, 2 Tl 3.61
Tl2 0.1851 0.0350 0.2500 (multiplicity 8)  4 Cd 3.18-3.47, 1 Ca 3.28, 2 Tl 3.29
Cd1 0.1485 0.5000 0.0000 (multiplicity 8)  6 Tl 3.18-3.47, 2 Cd 3.26, 2 Ca 3.40

=====

11.
The following is a PBE-GGA calculation of an optimized crystal structure of NdSmHo2, from Alexandria via LeMat-Bulk.

Results
* E_tot: -0.171 hartree per atom
* E_form: 0.019 eV per atom
* E above lowest polymorph: 4.2 meV/atom
* density: 7.94 g/cm3

Cell: 10.0521 10.1901 5.1002 Å, 90.00 90.00 90.00°
Last column: nearest neighbours and their distance in Å.
Space group Cmcm (No. 63)
Symmetry-distinct sites (fractional):
Nd1 0.0000 0.1259 0.2500 (multiplicity 4)  8 Ho 3.57-3.59, 2 Sm 3.60, 2 Nd 3.62
Sm1 0.0000 0.3759 0.7500 (multiplicity 4)  8 Ho 3.57-3.59, 2 Sm 3.59, 2 Nd 3.60
Ho1 0.2504 0.1249 0.7500 (multiplicity 8)  4 Sm 3.57-3.59, 4 Nd 3.57-3.59, 4 Ho 3.60-3.61

=====

12.
The following is a PBE-GGA calculation of an optimized crystal structure of CaTi2Si, from Alexandria via LeMat-Bulk.

Results
* E_tot: -0.201 hartree per atom
* density: 2.84 g/cm3
* raw formation energy: 0.326 eV/atom

Cell: 4.4861 4.4861 19.0537 Å, 90.00 90.00 90.00°
Last column: nearest neighbours and their distance in Å.
Space group I-42d (No. 122)
Symmetry-distinct sites (fractional):
Ca1 0.0000 0.0000 0.0000 (multiplicity 4)  4 Si 3.17, 8 Ti 3.41-3.50
Ti1 0.0156 0.2500 0.6250 (multiplicity 8)  2 Ti 2.25
Si1 0.0000 0.0000 0.5000 (multiplicity 4)  4 Ti 2.63

=====

The lowest E_tot belongs to which entry? BeOsRu2

=====

Please write out number 7 again, unchanged.
The following is a PBE-GGA calculation of an optimized crystal structure of VP2Se2, from Alexandria via LeMat-Bulk.

Results
* E_tot: -0.188 hartree per atom
* E above lowest polymorph: 0.0 meV/atom
* density: 4.69 g/cm3
* raw formation energy: 0.274 eV/atom

Cell: 6.9459 6.9459 3.9749 Å, 90.00 90.00 90.00°
Last column: nearest neighbours and their distance in Å.
Space group P4/mbm (No. 127)
Symmetry-distinct sites (fractional):
V1 0.0000 0.0000 0.0000 (multiplicity 2)  4 P 2.56
P1 0.1746 0.3254 0.0000 (multiplicity 4)  2 Se 2.40, 2 V 2.56
Se1 0.1893 0.6893 0.5000 (multiplicity 4)  2 P 2.40

=====

What is the density in the twelfth record? 2.84 g/cm3